1.
A plane-wave DFT calculation with GGA-PBE was carried out for a geometry-optimized HfHgBi structure.

Unit cell a=7.9146 b=7.9146 c=7.9146 alpha=156.43 beta=156.43 gamma=33.58
With the nearest neighbours (Å) after each atom.
Element x y z (fractional)
Hf (0.0000, 0.0000, 0.0000)  4 Hg 3.04, 4 Hf 3.23, 4 Bi 3.25
Hg (0.3677, 0.3677, 0.0000)  4 Hf 3.04, 4 Hg 3.23
Bi (0.6521, 0.6521, 0.0000)  4 Bi 3.23, 4 Hf 3.25

Summary:
Density in Mg/m³: 12.33
E above lowest polymorph in meV per atom: 0.0
Crystal system: tetragonal

2.
A plane-wave DFT calculation with GGA-PBE was carried out for a geometry-optimized PmY4Hg structure.

Unit cell a=8.3255 b=8.3255 c=6.3698 alpha=100.41 beta=100.41 gamma=115.89
With the nearest neighbours (Å) after each atom.
Element x y z (fractional)
Pm (0.1073, 0.8927, 0.7500)  10 Y 3.42-3.69
Pm (0.8927, 0.1073, 0.2500)  10 Y 3.42-3.69
Y (0.1120, 0.3196, 0.8588)  2 Hg 3.18-3.22, 2 Y 3.40-3.49, 1 Pm 3.48
Y (0.2127, 0.5878, 0.4470)  2 Hg 3.17-3.22, 4 Y 3.40-3.52, 2 Pm 3.42-3.51
Y (0.3196, 0.1120, 0.3588)  2 Hg 3.18-3.22, 2 Y 3.40-3.49, 1 Pm 3.48
Y (0.4122, 0.7873, 0.0530)  2 Hg 3.17-3.22, 4 Y 3.40-3.52, 2 Pm 3.42-3.51
Y (0.5878, 0.2127, 0.9470)  2 Hg 3.17-3.22, 4 Y 3.40-3.52, 2 Pm 3.42-3.51
Y (0.6804, 0.8880, 0.6412)  2 Hg 3.18-3.22, 2 Y 3.40-3.49, 1 Pm 3.48
Y (0.7873, 0.4122, 0.5530)  2 Hg 3.17-3.22, 4 Y 3.40-3.52, 2 Pm 3.42-3.51
Y (0.8880, 0.6804, 0.1412)  2 Hg 3.18-3.22, 2 Y 3.40-3.49, 1 Pm 3.48
Hg (0.4996, 0.5004, 0.2500)  8 Y 3.17-3.22, 2 Hg 3.18
Hg (0.5004, 0.4996, 0.7500)  8 Y 3.17-3.22, 2 Hg 3.18

Summary:
Density in Mg/m³: 6.24
Crystal system: monoclinic
Raw total energy in eV/cell: -62.6

3.
A plane-wave DFT calculation with GGA-PBE was carried out for a geometry-optimized TlSiTe structure.

Unit cell a=3.8576 b=3.8576 c=6.6056 alpha=90.00 beta=90.00 gamma=120.00
With the nearest neighbours (Å) after each atom.
Element x y z (fractional)
Tl (0.0000, 0.0000, 0.0000)  3 Si 3.17
Si (0.6667, 0.3333, 0.3411)  3 Te 2.72
Te (0.3333, 0.6667, 0.5780)  3 Si 2.72

Summary:
Density in Mg/m³: 7.02
E above lowest polymorph in meV per atom: 0.0
Crystal system: trigonal
Energy relative to the elements, uncorrected in eV/f.u.: 0.509

4.
A plane-wave DFT calculation with GGA-PBE was carried out for a geometry-optimized Sm4Y7Tm structure.

Unit cell a=6.5554 b=6.8410 c=9.1283 alpha=85.64 beta=77.01 gamma=81.90
With the nearest neighbours (Å) after each atom.
Element x y z (fractional)
Sm (0.1426, 0.3141, 0.2822)  8 Y 3.34-3.67, 1 Tm 3.37, 2 Sm 3.52-3.55
Sm (0.3383, 0.8797, 0.6947)  7 Y 3.39-3.70, 2 Sm 3.52-3.55
Sm (0.6617, 0.1203, 0.3053)  7 Y 3.39-3.70, 2 Sm 3.52-3.55
Sm (0.8574, 0.6859, 0.7178)  8 Y 3.34-3.67, 1 Tm 3.37, 2 Sm 3.52-3.55
Y (0.0099, 0.2528, 0.9508)  5 Y 3.39-3.54, 4 Sm 3.40-3.70, 1 Tm 3.48
Y (0.1798, 0.8066, 0.3612)  5 Y 3.43-3.75, 4 Sm 3.48-3.57
Y (0.3121, 0.3918, 0.6171)  5 Y 3.32-3.67, 5 Sm 3.34-3.67
Y (0.5000, 0.0000, 0.0000)  4 Sm 3.39-3.67, 2 Tm 3.42, 4 Y 3.53-3.75
Y (0.6879, 0.6082, 0.3829)  5 Y 3.32-3.67, 5 Sm 3.34-3.67
Y (0.8202, 0.1934, 0.6388)  5 Y 3.43-3.75, 4 Sm 3.48-3.57
Y (0.9901, 0.7472, 0.0492)  5 Y 3.39-3.54, 4 Sm 3.40-3.70, 1 Tm 3.48
Tm (0.5000, 0.5000, 0.0000)  2 Sm 3.37, 4 Y 3.42-3.48

Summary:
Density in Mg/m³: 5.86
E above lowest polymorph in meV per atom: 0.0
Crystal system: triclinic

Computed magnetic moment (μB per formula unit) in order:
0.0; 0.0; 0.0; 0.0